# 1
Na6NiBr8, optimized geometry, DFT GGA-PBE; space group = Fm-3m, No. 225; magnetic moment = 1.91 Bohr magnetons per cell; raw formation energy = -1.2978 eV per atom
1.0
0.0000 5.9567 5.9567
5.9567 0.0000 5.9567
5.9567 5.9567 0.0000
Na Ni Br
6 1 8
direct
0.0000 0.0000 0.5000 Na
0.0000 0.5000 0.0000 Na
0.0000 0.5000 0.5000 Na
0.5000 0.0000 0.0000 Na
0.5000 0.0000 0.5000 Na
0.5000 0.5000 0.0000 Na
0.0000 0.0000 0.0000 Ni
0.2192 0.2192 0.7808 Br
0.2192 0.7808 0.2192 Br
0.2192 0.7808 0.7808 Br
0.2500 0.2500 0.2500 Br
0.7500 0.7500 0.7500 Br
0.7808 0.2192 0.2192 Br
0.7808 0.2192 0.7808 Br
0.7808 0.7808 0.2192 Br

# 2
PaAlRu2, optimized geometry, DFT GGA-PBE; space group = P4/mmm, No. 123; magnetic moment = 0.00 Bohr magnetons per cell; uncorrected energy = -8.428 eV per atom
1.0
3.1506 0.0000 0.0000
0.0000 3.1506 0.0000
0.0000 0.0000 6.7328
Pa Al Ru
1 1 2
direct
0.0000 0.0000 0.0000 Pa
0.0000 0.0000 0.5000 Al
0.5000 0.5000 0.2846 Ru
0.5000 0.5000 0.7154 Ru

# 3
Tb6Pr8Dy, optimized geometry, DFT GGA-PBE; space group = P-3, No. 147; magnetic moment = 0.00 Bohr magnetons per cell; polymorph energy (0 for the lowest one) = 10 meV per atom
1.0
9.5084 0.0000 0.0000
-4.7542 8.2345 0.0000
0.0000 0.0000 6.6453
Tb Pr Dy
6 8 1
direct
0.0930 0.4366 0.3429 Tb
0.3436 0.9070 0.3429 Tb
0.4366 0.3436 0.6571 Tb
0.5634 0.6564 0.3429 Tb
0.6564 0.0930 0.6571 Tb
0.9070 0.5634 0.6571 Tb
0.0362 0.2865 0.8323 Pr
0.2503 0.9638 0.8323 Pr
0.2865 0.2503 0.1677 Pr
0.3333 0.6667 0.8804 Pr
0.6667 0.3333 0.1196 Pr
0.7135 0.7497 0.8323 Pr
0.7497 0.0362 0.1677 Pr
0.9638 0.7135 0.1677 Pr
0.0000 0.0000 0.5000 Dy

# 4
FeMoCl2, optimized geometry, DFT GGA-PBE; space group = R-3m, No. 166; magnetic moment = 7.98 Bohr magnetons per cell; polymorph energy (0 for the lowest one) = 510 meV per atom; raw formation energy = 0.3016 eV per atom
1.0
3.0431 0.0000 0.0000
-1.5216 2.6354 0.0000
0.0000 0.0000 24.6039
Fe Mo Cl
3 3 6
direct
0.0000 0.0000 0.0000 Fe
0.3333 0.6667 0.6667 Fe
0.6667 0.3333 0.3333 Fe
0.0000 0.0000 0.5000 Mo
0.3333 0.6667 0.1667 Mo
0.6667 0.3333 0.8333 Mo
0.0000 0.0000 0.0933 Cl
0.0000 0.0000 0.9067 Cl
0.3333 0.6667 0.5734 Cl
0.3333 0.6667 0.7599 Cl
0.6667 0.3333 0.2401 Cl
0.6667 0.3333 0.4266 Cl

# 5
CsCd4Bi3, optimized geometry, DFT GGA-PBE; space group = P4/mmm, No. 123; magnetic moment = 0.00 Bohr magnetons per cell; uncorrected energy = -2.146 eV per atom
1.0
4.9690 0.0000 0.0000
0.0000 4.9690 0.0000
0.0000 0.0000 11.3394
Cs Cd Bi
1 4 3
direct
0.0000 0.0000 0.0000 Cs
0.0000 0.5000 0.3326 Cd
0.0000 0.5000 0.6674 Cd
0.5000 0.0000 0.3326 Cd
0.5000 0.0000 0.6674 Cd
0.0000 0.0000 0.5000 Bi
0.5000 0.5000 0.1817 Bi
0.5000 0.5000 0.8183 Bi

# 6
Pu5MnN8, optimized geometry, DFT GGA-PBE; space group = I-4, No. 82; magnetic moment = 23.00 Bohr magnetons per cell; raw formation energy = -0.8601 eV per atom
1.0
-3.5620 3.5620 3.5690
3.5620 -3.5620 3.5690
3.5620 3.5620 -3.5690
Pu Mn N
5 1 8
direct
0.0000 0.0000 0.0000 Pu
0.1291 0.5371 0.9059 Pu
0.4629 0.3689 0.5921 Pu
0.6311 0.2232 0.0941 Pu
0.7768 0.8709 0.4079 Pu
0.2500 0.7500 0.5000 Mn
0.2547 0.0881 0.7361 N
0.3520 0.5186 0.2639 N
0.3889 0.0193 0.2308 N
0.4814 0.7453 0.8334 N
0.7885 0.1580 0.7692 N
0.8420 0.6111 0.6305 N
0.9119 0.6480 0.1666 N
0.9807 0.2115 0.3695 N

# 7
Nd2CoNi3As4, optimized geometry, DFT GGA-PBE; space group = P-4m2, No. 115; magnetic moment = 1.10 Bohr magnetons per cell; uncorrected energy = -6.052 eV per atom
1.0
4.1884 0.0000 0.0000
0.0000 4.1884 0.0000
0.0000 0.0000 9.5817
Nd Co Ni As
2 1 3 4
direct
0.0000 0.5000 0.2486 Nd
0.5000 0.0000 0.7514 Nd
0.5000 0.5000 0.0000 Co
0.0000 0.0000 0.0000 Ni
0.0000 0.5000 0.6198 Ni
0.5000 0.0000 0.3802 Ni
0.0000 0.0000 0.5000 As
0.0000 0.5000 0.8699 As
0.5000 0.0000 0.1301 As
0.5000 0.5000 0.5000 As

# 8
Tc3Ni2Sb8, optimized geometry, DFT GGA-PBE; space group = C2/m, No. 12; magnetic moment = 0.00 Bohr magnetons per cell; raw formation energy = -0.0477 eV per atom
1.0
5.8425 -3.8713 0.0000
5.8425 3.8713 0.0000
-0.1489 0.0000 6.1646
Tc Ni Sb
3 2 8
direct
0.0000 0.0000 0.0000 Tc
0.2071 0.7929 0.5000 Tc
0.7929 0.2071 0.5000 Tc
0.2581 0.2581 0.9875 Ni
0.7419 0.7419 0.0125 Ni
0.1244 0.6175 0.1508 Sb
0.1631 0.1631 0.3631 Sb
0.3800 0.3800 0.6436 Sb
0.3825 0.8756 0.8492 Sb
0.6175 0.1244 0.1508 Sb
0.6200 0.6200 0.3564 Sb
0.8369 0.8369 0.6369 Sb
0.8756 0.3825 0.8492 Sb

# 9
Th4SbTe2Pt, optimized geometry, DFT GGA-PBE; space group = P2/m, No. 10; magnetic moment = 0.00 Bohr magnetons per cell; raw formation energy = -1.0709 eV per atom
1.0
7.7440 0.0000 0.0000
0.0000 4.3483 0.0000
-2.4740 0.0000 7.4047
Th Sb Te Pt
4 1 2 1
direct
0.2151 0.0000 0.2184 Th
0.2323 0.5000 0.7621 Th
0.7677 0.5000 0.2379 Th
0.7849 0.0000 0.7816 Th
0.0000 0.0000 0.5000 Sb
0.5000 0.0000 0.0000 Te
0.5000 0.5000 0.5000 Te
0.0000 0.5000 0.0000 Pt

# 10
KTiCrH, optimized geometry, DFT GGA-PBE; space group = Cm, No. 8; magnetic moment = 4.17 Bohr magnetons per cell; polymorph energy (0 for the lowest one) = 0 meV per atom
1.0
15.8534 0.0000 0.0000
0.0000 3.1036 0.0000
-0.0205 0.0000 2.9033
K Ti Cr H
2 2 2 2
direct
0.0000 0.0000 0.0000 K
0.5000 0.5000 0.0000 K
0.2840 0.0000 0.5134 Ti
0.7840 0.5000 0.5134 Ti
0.1850 0.5000 0.0104 Cr
0.6850 0.0000 0.0104 Cr
0.1036 0.5000 0.5059 H
0.6036 0.0000 0.5059 H

# 11
Sr2Li6ZnAg, optimized geometry, DFT GGA-PBE; space group = Immm, No. 71; magnetic moment = 0.00 Bohr magnetons per cell; uncorrected energy = -1.900 eV per atom
1.0
-3.5770 3.6236 5.1042
3.5770 -3.6236 5.1042
3.5770 3.6236 -5.1042
Sr Li Zn Ag
2 6 1 1
direct
0.2502 0.2502 0.0000 Sr
0.7498 0.7498 0.0000 Sr
0.2517 0.2484 0.5001 Li
0.2517 0.7516 0.0033 Li
0.2519 0.7519 0.5000 Li
0.7481 0.2481 0.5000 Li
0.7483 0.2484 0.9967 Li
0.7483 0.7516 0.4999 Li
0.5000 0.0000 0.5000 Zn
0.0000 0.5000 0.5000 Ag

# 12
BeC, optimized geometry, DFT GGA-PBE; space group = I4_1/amd, No. 141; magnetic moment = 0.00 Bohr magnetons per cell; polymorph energy (0 for the lowest one) = 1071 meV per atom
1.0
2.6958 0.0000 0.0000
0.0000 2.6958 0.0000
0.0000 0.0000 7.7939
Be C
4 4
direct
0.0000 0.2500 0.3750 Be
0.0000 0.7500 0.6250 Be
0.5000 0.2500 0.1250 Be
0.5000 0.7500 0.8750 Be
0.0000 0.2500 0.8750 C
0.0000 0.7500 0.1250 C
0.5000 0.2500 0.6250 C
0.5000 0.7500 0.3750 C